# 1
{
  "formula": "PaPtAu",
  "functional": "PBE",
  "state": "relaxed",
  "polymorph_energy_ev_per_atom": 0.032,
  "lattice": [[5.2130, 0.0000, 0.0000], [-2.6065, 4.5146, 0.0000], [0.0000, 0.0000, 5.5098]],
  "species": ["Au", "Pt", "Pa", "Pt", "Au", "Pa"],
  "fractional_positions": [[0.0000, 0.0000, 0.3428], [0.6667, 0.3333, 0.8431], [0.6667, 0.3333, 0.3431], [0.3333, 0.6667, 0.3431], [0.0000, 0.0000, 0.8428], [0.3333, 0.6667, 0.8431]]
}

=====

# 2
{
  "formula": "KUI2Br8",
  "functional": "PBE",
  "state": "relaxed",
  "e_form_raw_ev_per_atom": -0.92,
  "lattice": [[7.1563, -1.4194, 0.1368], [-1.3225, 9.1969, 1.3199], [0.3327, 1.9001, 9.3045]],
  "species": ["I", "U", "Br", "K", "I", "Br", "Br", "Br", "Br", "Br", "Br", "Br"],
  "fractional_positions": [[0.4509, 0.5296, 0.7290], [0.0000, 0.0000, 0.0000], [0.5104, 0.8184, 0.5433], [0.0000, 0.0000, 0.5000], [0.5491, 0.4704, 0.2710], [0.9152, 0.1791, 0.7425], [0.3874, 0.1942, 0.9295], [0.9292, 0.1888, 0.1381], [0.6126, 0.8058, 0.0705], [0.4896, 0.1816, 0.4567], [0.0848, 0.8209, 0.2575], [0.0708, 0.8112, 0.8619]]
}

=====

# 3
{
  "formula": "Ho3U2Tc4",
  "functional": "PBE",
  "state": "relaxed",
  "lattice": [[4.2542, 0.0000, 0.0000], [-2.1271, 5.2775, -1.2844], [0.0000, 0.4352, 8.8154]],
  "species": ["Tc", "U", "Tc", "Tc", "Ho", "Ho", "Tc", "Ho", "U"],
  "fractional_positions": [[0.0890, 0.1781, 0.6379], [0.3253, 0.6505, 0.2230], [0.2736, 0.5471, 0.9033], [0.9110, 0.8219, 0.3621], [0.6251, 0.2501, 0.3862], [0.3749, 0.7499, 0.6138], [0.7264, 0.4529, 0.0967], [0.0000, 0.0000, 0.0000], [0.6747, 0.3495, 0.7770]]
}

=====

# 4
{
  "formula": "CeSiTc2Ge",
  "functional": "PBE",
  "state": "relaxed",
  "e_form_raw_ev_per_atom": -0.51,
  "lattice": [[5.9205, 0.0000, 0.0000], [0.0000, 5.9456, 0.0000], [0.0000, -2.9728, 5.1422]],
  "species": ["Tc", "Si", "Ge", "Ce", "Si", "Tc", "Tc", "Tc", "Ce", "Ge"],
  "fractional_positions": [[0.0000, 0.7562, 0.0000], [0.2500, 0.6136, 0.2273], [0.7500, 0.1387, 0.2774], [0.2500, 0.2548, 0.5097], [0.7500, 0.3864, 0.7727], [0.5000, 0.7562, 0.0000], [0.5000, 0.2438, 0.0000], [0.0000, 0.2438, 0.0000], [0.7500, 0.7452, 0.4903], [0.2500, 0.8613, 0.7226]]
}

=====

# 5
{
  "formula": "TlZnB",
  "functional": "PBE",
  "state": "relaxed",
  "lattice": [[-1.6863, -2.9686, -2.2466], [0.9188, -2.7219, 2.9070], [-6.5548, 1.2616, 3.2530]],
  "species": ["Zn", "Tl", "Tl", "Zn", "B", "B"],
  "fractional_positions": [[0.0000, 0.5000, 0.6016], [0.5000, 0.0000, 0.8246], [0.0000, 0.5000, 0.1754], [0.5000, 0.0000, 0.3984], [0.0000, 0.0000, 0.5000], [0.5000, 0.5000, 0.5000]]
}

=====

# 6
{
  "formula": "HPt3Pb",
  "functional": "PBE",
  "state": "relaxed",
  "polymorph_energy_ev_per_atom": 1.833,
  "lattice": [[5.1482, 0.0000, 0.0000], [0.0000, 5.1482, 0.0000], [0.0000, 0.0000, 5.1482]],
  "species": ["Pt", "Pb", "H", "Pt", "Pt"],
  "fractional_positions": [[0.0000, 0.5000, 0.0000], [0.0000, 0.0000, 0.0000], [0.5000, 0.5000, 0.5000], [0.5000, 0.0000, 0.0000], [0.0000, 0.0000, 0.5000]]
}

=====

# 7
{
  "formula": "TiTc2S",
  "functional": "PBE",
  "state": "relaxed",
  "e_form_raw_ev_per_atom": -0.02,
  "lattice": [[7.2910, 0.0000, 0.0000], [0.0000, 7.2910, 0.0000], [3.6455, 3.6455, 2.3916]],
  "species": ["Tc", "Ti", "S", "Tc", "Tc", "S", "Tc", "Ti"],
  "fractional_positions": [[0.8750, 0.7849, 0.7500], [0.0000, 0.0000, 0.0000], [0.5000, 0.5000, 0.0000], [0.5349, 0.1250, 0.2500], [0.3750, 0.4651, 0.7500], [0.2500, 0.7500, 0.5000], [0.2151, 0.6250, 0.2500], [0.7500, 0.2500, 0.5000]]
}

=====

# 8
{
  "formula": "Re5As",
  "functional": "PBE",
  "state": "relaxed",
  "polymorph_energy_ev_per_atom": 0.627,
  "lattice": [[2.5127, -4.3521, 0.0000], [2.5127, 4.3521, 0.0000], [0.0000, 0.0000, 4.7137]],
  "species": ["Re", "Re", "Re", "As", "Re", "Re"],
  "fractional_positions": [[0.3333, 0.6667, 0.0000], [0.5000, 0.5000, 0.5000], [0.5000, 0.0000, 0.5000], [0.0000, 0.0000, 0.0000], [0.0000, 0.5000, 0.5000], [0.6667, 0.3333, 0.0000]]
}

=====

# 9
{
  "formula": "LiBiSbAs2",
  "functional": "PBE",
  "state": "relaxed",
  "e_form_raw_ev_per_atom": 0.37,
  "lattice": [[-4.2163, 1.7942, 0.9477], [-0.4068, -3.1920, 4.2331], [1.9973, 3.2841, 2.6683]],
  "species": ["Bi", "Li", "As", "As", "Sb"],
  "fractional_positions": [[0.5000, 0.5000, 0.5000], [0.0000, 0.0000, 0.0000], [0.0000, 0.0000, 0.5000], [0.5000, 0.0000, 0.0000], [0.0000, 0.5000, 0.0000]]
}

=====

# 10
{
  "formula": "ZnIn2Te2",
  "functional": "PBE",
  "state": "relaxed",
  "e_form_raw_ev_per_atom": 0.06,
  "polymorph_energy_ev_per_atom": 0.071,
  "lattice": [[5.3887, 0.0000, 0.0000], [0.0000, 5.3887, 0.0000], [2.6944, 2.6944, 6.4742]],
  "species": ["In", "Zn", "Te", "Te", "In"],
  "fractional_positions": [[0.2500, 0.7500, 0.5000], [0.0000, 0.0000, 0.0000], [0.3561, 0.3561, 0.2879], [0.6439, 0.6439, 0.7121], [0.7500, 0.2500, 0.5000]]
}

=====

# 11
{
  "formula": "Nd8SbIr2",
  "functional": "PBE",
  "state": "relaxed",
  "e_form_raw_ev_per_atom": -0.42,
  "lattice": [[-1.7001, 2.7439, 4.8308], [-7.1767, -3.1266, -1.8663], [4.9785, -5.2038, 3.5913]],
  "species": ["Nd", "Nd", "Nd", "Ir", "Sb", "Nd", "Nd", "Nd", "Nd", "Nd", "Ir"],
  "fractional_positions": [[0.0916, 0.3297, 0.0721], [0.5000, 0.7526, 0.2474], [0.5000, 0.2474, 0.7526], [0.0000, 0.3072, 0.6928], [0.5000, 0.0000, 0.0000], [0.7019, 0.3851, 0.3851], [0.2981, 0.6149, 0.6149], [0.9084, 0.9279, 0.6703], [0.0916, 0.0721, 0.3297], [0.9084, 0.6703, 0.9279], [0.0000, 0.6928, 0.3072]]
}

=====

# 12
{
  "formula": "ScHSe2Br",
  "functional": "PBE",
  "state": "relaxed",
  "polymorph_energy_ev_per_atom": 0.032,
  "lattice": [[5.1990, 0.0000, 0.0000], [0.0000, 5.1990, 0.0000], [0.0000, 0.0000, 5.3825]],
  "species": ["Br", "Se", "Sc", "H", "Se"],
  "fractional_positions": [[0.0000, 0.0000, 0.5000], [0.5000, 0.0000, 0.0000], [0.0000, 0.0000, 0.0000], [0.5000, 0.5000, 0.5000], [0.0000, 0.5000, 0.0000]]
}

=====

# 13
{
  "formula": "TcSb2As",
  "functional": "PBE",
  "state": "relaxed",
  "e_form_raw_ev_per_atom": 0.11,
  "polymorph_energy_ev_per_atom": 0.055,
  "lattice": [[-0.4977, 2.1612, 3.9170], [-1.6965, -0.9443, 4.0610], [5.7136, -2.0674, 2.9836]],
  "species": ["As", "Sb", "Sb", "Tc"],
  "fractional_positions": [[0.7801, 0.7801, 0.6723], [0.2253, 0.2253, 0.3210], [0.9911, 0.9911, 0.9270], [0.5035, 0.5035, 0.5798]]
}

=====

# 14
{
  "formula": "PrSmCo2",
  "functional": "PBE",
  "state": "relaxed",
  "polymorph_energy_ev_per_atom": 0.112,
  "lattice": [[-1.9751, -2.5142, -1.3341], [3.9915, -2.7090, -0.8041], [-0.4597, -1.9955, 4.4412]],
  "species": ["Sm", "Pr", "Co", "Co"],
  "fractional_positions": [[0.5000, 0.5000, 0.5000], [0.5000, 0.0000, 0.0000], [0.0000, 0.5000, 0.0000], [0.0000, 0.0000, 0.5000]]
}

=====

# 15
{
  "formula": "CsPrTl2I6",
  "functional": "PBE",
  "state": "relaxed",
  "e_form_raw_ev_per_atom": -1.15,
  "lattice": [[-1.0356, -7.9284, 3.7912], [3.0819, -7.2629, -4.0071], [7.5710, -4.1918, 3.6408]],
  "species": ["Cs", "Tl", "I", "I", "I", "I", "I", "Pr", "I", "Tl"],
  "fractional_positions": [[0.8093, 0.8095, 0.5719], [0.0047, 0.0047, 0.9862], [0.3695, 0.7094, 0.7627], [0.2388, 0.9626, 0.2365], [0.1581, 0.3696, 0.7629], [0.9626, 0.5622, 0.2363], [0.7096, 0.1578, 0.7630], [0.3266, 0.3266, 0.0202], [0.5620, 0.2390, 0.2363], [0.5203, 0.5201, 0.4393]]
}

=====

# 16
{
  "formula": "RhAuN2O",
  "functional": "PBE",
  "state": "relaxed",
  "e_form_raw_ev_per_atom": 1.29,
  "lattice": [[-1.7856, -3.0120, -1.4150], [0.2807, -1.7364, 3.3420], [-3.8718, 1.7222, 1.2200]],
  "species": ["N", "Rh", "N", "O", "Au"],
  "fractional_positions": [[0.5000, 0.0000, 0.0000], [0.0000, 0.0000, 0.0000], [0.0000, 0.5000, 0.0000], [0.0000, 0.0000, 0.5000], [0.5000, 0.5000, 0.5000]]
}

=====

# 17
{
  "formula": "Ta3W",
  "functional": "PBE",
  "state": "relaxed",
  "lattice": [[4.6241, -0.0086, 0.0000], [0.0104, 4.6241, 0.0000], [0.0000, 0.0000, 3.2909]],
  "species": ["Ta", "Ta", "Ta", "W"],
  "fractional_positions": [[0.0000, 0.5000, 0.5000], [0.5000, 0.0000, 0.5000], [0.0000, 0.0000, 0.0000], [0.5000, 0.5000, 0.0000]]
}

=====

# 18
{
  "formula": "CuOsW2",
  "functional": "PBE",
  "state": "relaxed",
  "polymorph_energy_ev_per_atom": 0.077,
  "lattice": [[-0.6301, -1.7663, -4.3605], [-1.6760, -3.6408, -2.5430], [-4.3953, 1.5637, -0.9165]],
  "species": ["Os", "W", "Cu", "W"],
  "fractional_positions": [[0.2511, 0.2511, 0.2445], [0.9956, 0.9956, 0.0149], [0.5018, 0.5018, 0.5064], [0.7515, 0.7515, 0.7342]]
}

=====

# 19
{
  "formula": "CuPb2F6",
  "functional": "PBE",
  "state": "relaxed",
  "e_form_raw_ev_per_atom": -2.08,
  "polymorph_energy_ev_per_atom": 0.000,
  "lattice": [[-6.3617, -0.3876, -1.5128], [-0.1874, -5.6169, 2.2273], [-2.0517, 3.1930, 7.8098]],
  "species": ["Cu", "F", "F", "F", "Pb", "F", "F", "F", "F", "Pb", "F", "F", "F", "Pb", "F", "Pb", "Cu", "F"],
  "fractional_positions": [[0.0000, 0.0000, 0.5000], [0.1630, 0.1418, 0.6593], [0.6650, 0.3591, 0.1579], [0.1650, 0.1409, 0.3421], [0.4989, 0.9993, 0.7794], [0.6630, 0.3582, 0.8407], [0.8350, 0.8591, 0.6579], [0.3337, 0.1462, 0.0006], [0.6663, 0.8538, 0.9994], [0.5011, 0.0007, 0.2206], [0.1663, 0.6462, 0.5006], [0.3370, 0.6418, 0.1593], [0.8370, 0.8582, 0.3407], [0.9989, 0.5007, 0.7206], [0.3350, 0.6409, 0.8421], [0.0011, 0.4993, 0.2794], [0.5000, 0.5000, 0.0000], [0.8337, 0.3538, 0.4994]]
}

=====

# 20
{
  "formula": "AcHPd3",
  "functional": "PBE",
  "state": "relaxed",
  "polymorph_energy_ev_per_atom": 0.059,
  "lattice": [[4.3609, 0.0000, 0.0000], [0.0000, 4.3609, 0.0000], [0.0000, 0.0000, 4.3609]],
  "species": ["Pd", "Pd", "Ac", "Pd", "H"],
  "fractional_positions": [[0.0000, 0.5000, 0.0000], [0.0000, 0.0000, 0.5000], [0.5000, 0.5000, 0.5000], [0.5000, 0.0000, 0.0000], [0.0000, 0.0000, 0.0000]]
}

=====

Number 1: E -41.6 eV/cell, total magnetic moment 0.000 μB per formula unit. Number 2: E -39.9 eV/cell, total magnetic moment 0.997 μB per formula unit. Number 3: E -79.3 eV/cell, total magnetic moment 0.000 μB per formula unit. Number 4: E -78.5 eV/cell, total magnetic moment 0.541 μB per formula unit. Number 5: E -16.0 eV/cell, total magnetic moment 0.000 μB per formula unit. Number 6: E -16.3 eV/cell, total magnetic moment 1.002 μB per formula unit. Number 7: E -65.7 eV/cell, total magnetic moment 0.000 μB per formula unit. Number 8: E -62.2 eV/cell, total magnetic moment 0.000 μB per formula unit. Number 9: E -17.4 eV/cell, total magnetic moment 0.000 μB per formula unit. Number 10: E -12.8 eV/cell, total magnetic moment 0.000 μB per formula unit. Number 11: E -64.6 eV/cell, total magnetic moment 0.000 μB per formula unit. Number 12: E -19.0 eV/cell, total magnetic moment 2.437 μB per formula unit. Number 13: E -22.8 eV/cell, total magnetic moment 0.000 μB per formula unit. Number 14: E -23.5 eV/cell, total magnetic moment 0.858 μB per formula unit. Number 15: E -31.1 eV/cell, total magnetic moment 0.000 μB per formula unit. Number 16: E -25.8 eV/cell, total magnetic moment 0.004 μB per formula unit. Number 17: E -48.7 eV/cell, total magnetic moment 0.000 μB per formula unit. Number 18: E -40.2 eV/cell, total magnetic moment 0.000 μB per formula unit. Number 19: E -82.9 eV/cell, total magnetic moment 1.008 μB per formula unit. Number 20: E -25.7 eV/cell, total magnetic moment 0.000 μB per formula unit.